First-principles (PBE) data for a relaxed structure of Al2IF, as listed in Alexandria.

Output
magnetization: 0.000 Bohr magnetons per cell
offset from the most stable computed form: 40.0 kJ per mole of atoms
crystal system: cubic
energy relative to the elements, uncorrected: -252 meV/atom

Unit cell a=7.3125 b=7.3125 c=7.3125 alpha=90.00 beta=90.00 gamma=90.00
Space group Fm-3m (No. 225)
Unique sites:
Al  0.2500  0.2500  0.2500
I  0.0000  0.0000  0.0000
F  0.0000  0.0000  0.5000